Below is an optimized crystal structure of FeAsBr, with properties calculated at the GGA-PBE level.

- Space group: No. 216
- Spin magnetization: 3.23 μB per cell
- Energy relative to the elements, uncorrected: 0.9235 eV/atom
- Total DFT energy (no corrections): -4.005 eV/atom
- D(E_F): 1.71 states/eV per atom
- Energy relative to the lowest polymorph listed for this composition: 875.3 meV per atom

abc: 4.6210 4.6210 4.6210
angles: 60.00 60.00 60.00
Sites, in units of the cell vectors:
Fe 0.0000 0.0000 0.0000
As 0.2500 0.2500 0.2500
Br 0.5000 0.5000 0.5000